Here is ZrBeNiRh2 after structural relaxation from Alexandria. Energies are from PBE.

Computed properties:
Crystal system ... tetragonal
DOS(E_F) ... 1.6 states/eV per cell
Energy ... -5.30 eV per atom
ρ ... 5.86 Mg/m³
Offset from the most stable computed form ... 1751.3 meV/atom
Energy of formation ... 1.247 eV per atom
Magnetization ... 0.0 μB per cell

Unit cell a=4.762 b=4.762 c=4.555 alpha=90.00 beta=90.00 gamma=90.00
Element x y z (fractional)
Zr (0.000, 0.000, 0.000)
Be (0.500, 0.500, 0.500)
Ni (0.000, 0.000, 0.500)
Rh (0.000, 0.500, 0.000)
Rh (0.500, 0.000, 0.000)